The following is a DFT calculation (PBE) of a geometry-optimized PaCrBr structure.

Output
The calculation puts the calculated density at 7.66 Mg/m³. Its total energy is -43.5 eV per cell. As for the space-group type: P-1 (2). The formation energy from raw total energies is -0.313 eV/atom.

Cell and atoms, written as POSCAR:
```
PaCrBr
1.0
4.109 0.000 0.000
0.007 4.132 0.000
0.115 0.011 9.270
Pa Cr Br
2 2 2
direct
0.090 0.250 0.131
0.910 0.750 0.869
0.411 0.250 0.941
0.589 0.750 0.059
0.239 0.249 0.668
0.761 0.751 0.332
```

The following is a DFT calculation (PBE) of a geometry-optimized PaCrBr6 structure.

Output
The calculation puts the calculated density at 4.28 Mg/m³. Its total energy is -38.2 eV per cell. As for the space-group type: C2/m (12). The formation energy from raw total energies is -1.136 eV/atom.

Cell and atoms, written as POSCAR:
```
PaCrBr6
1.0
3.448 -6.684 0.000
3.448 6.684 0.000
-2.528 0.000 6.423
Pa Cr Br
1 1 6
direct
0.000 0.000 0.000
0.500 0.500 0.500
0.126 0.410 0.266
0.239 0.239 0.759
0.410 0.126 0.266
0.590 0.874 0.734
0.761 0.761 0.241
0.874 0.590 0.734
```

The following is a DFT calculation (PBE) of a geometry-optimized CrPb2Br structure.

Output
The calculation puts the calculated density at 8.47 Mg/m³. Its energy above the most stable polymorph in this dataset is 101.4 meV/atom. Its total energy is -18.1 eV per cell. As for the space-group type: Cm (8). The formation energy from raw total energies is 0.141 eV/atom.

Cell and atoms, written as POSCAR:
```
CrPb2Br
1.0
6.124 -1.725 0.000
6.124 1.725 0.000
-2.688 0.000 5.072
Cr Pb Br
1 2 1
direct
0.000 0.000 0.000
0.512 0.512 0.511
0.723 0.723 0.222
0.315 0.315 0.814
```

> Among the records above, which one has the highest formation energy from raw total energies?

CrPb2Br